a | Compound: Pu2ZrPa
Source: Alexandria
Functional: PBE-GGA
Structure: relaxed

Unit cell a=3.8281 b=3.8281 c=6.5006 alpha=90.00 beta=90.00 gamma=90.00
Last column: nearest neighbours and their distance in Å.
Fractional coordinates of all 4 atoms:
Pu: 0.0000 0.0000 0.2449  4 Pa 3.14, 4 Zr 3.17, 2 Pu 3.18-3.32
Pu: 0.0000 0.0000 0.7551  4 Pa 3.14, 4 Zr 3.17, 2 Pu 3.18-3.32
Zr: 0.5000 0.5000 0.5000  8 Pu 3.17, 2 Pa 3.25
Pa: 0.5000 0.5000 0.0000  8 Pu 3.14, 2 Zr 3.25

Summary:
- DOS(E_F): 13.46 states/eV/cell
- Space group: P4/mmm


b | Compound: Pu2ZrPa
Source: Alexandria
Functional: PBE-GGA
Structure: relaxed

Unit cell a=5.4099 b=5.4099 c=3.1968 alpha=90.00 beta=90.00 gamma=90.00
Last column: nearest neighbours and their distance in Å.
Fractional coordinates of all 4 atoms:
Pu: 0.0000 0.5000 0.0000  4 Pa 3.14, 4 Zr 3.14, 2 Pu 3.20
Pu: 0.5000 0.0000 0.0000  4 Pa 3.14, 4 Zr 3.14, 2 Pu 3.20
Zr: 0.0000 0.0000 0.5000  8 Pu 3.14, 2 Zr 3.20
Pa: 0.5000 0.5000 0.5000  8 Pu 3.14, 2 Pa 3.20

Summary:
- DOS(E_F): 13.30 states/eV/cell
- Space group: P4/mmm


From most stable to least stable, the computed energies give b, a.


a | Compound: TbNd2Er5
Source: Alexandria
Functional: PBE-GGA
Structure: relaxed

Unit cell a=7.1114 b=14.2252 c=5.0252 alpha=90.00 beta=90.00 gamma=90.00
Last column: nearest neighbours and their distance in Å.
Fractional coordinates of all 16 atoms:
Tb: 0.0000 0.0000 0.0000  8 Er 3.55-3.56, 4 Nd 3.56
Tb: 0.5000 0.5000 0.0000  8 Er 3.55-3.56, 4 Nd 3.56
Nd: 0.2483 0.3747 0.5000  10 Er 3.55-3.56, 2 Tb 3.56
Nd: 0.2517 0.8747 0.5000  10 Er 3.55-3.56, 2 Tb 3.56
Nd: 0.7483 0.1253 0.5000  10 Er 3.55-3.56, 2 Tb 3.56
Nd: 0.7517 0.6253 0.5000  10 Er 3.55-3.56, 2 Tb 3.56
Er: 0.0000 0.5000 0.0000  4 Nd 3.55, 6 Er 3.55-3.56, 2 Tb 3.56
Er: 0.0021 0.7497 0.0000  7 Er 3.55-3.56, 4 Nd 3.55, 1 Tb 3.56
Er: 0.2483 0.1250 0.5000  2 Tb 3.55, 4 Nd 3.55-3.56, 6 Er 3.55-3.56
Er: 0.2517 0.6250 0.5000  2 Tb 3.55, 4 Nd 3.55-3.56, 6 Er 3.55-3.56
Er: 0.4979 0.2497 0.0000  7 Er 3.55-3.56, 4 Nd 3.55, 1 Tb 3.56
Er: 0.5000 0.0000 0.0000  4 Nd 3.55, 6 Er 3.55-3.56, 2 Tb 3.56
Er: 0.5021 0.7503 0.0000  7 Er 3.55-3.56, 4 Nd 3.55, 1 Tb 3.56
Er: 0.7483 0.3750 0.5000  2 Tb 3.55, 4 Nd 3.55-3.56, 6 Er 3.55-3.56
Er: 0.7517 0.8750 0.5000  2 Tb 3.55, 4 Nd 3.55-3.56, 6 Er 3.55-3.56
Er: 0.9979 0.2503 0.0000  7 Er 3.55-3.56, 4 Nd 3.55, 1 Tb 3.56

Summary:
- DOS(E_F): 21.89 states/eV/cell
- Space group: Pbam


b | Compound: TbNd2Er5
Source: Alexandria
Functional: PBE-GGA
Structure: relaxed

Unit cell a=9.4666 b=9.4666 c=6.5246 alpha=97.68 beta=97.68 gamma=62.69
Last column: nearest neighbours and their distance in Å.
Fractional coordinates of all 16 atoms:
Tb: 0.0000 0.5000 0.0000  2 Nd 2.98
Tb: 0.5000 0.0000 0.5000  2 Nd 2.98
Nd: 0.1658 0.6755 0.8815  1 Tb 2.98, 2 Er 3.19-3.32, 1 Nd 3.30
Nd: 0.3245 0.8342 0.6185  1 Tb 2.98, 2 Er 3.19-3.32, 1 Nd 3.30
Nd: 0.6755 0.1658 0.3815  1 Tb 2.98, 2 Er 3.19-3.32, 1 Nd 3.30
Nd: 0.8342 0.3245 0.1185  1 Tb 2.98, 2 Er 3.19-3.32, 1 Nd 3.30
Er: 0.0106 0.1896 0.6471  3 Nd 3.32-3.50, 1 Tb 3.45, 5 Er 3.61-3.71
Er: 0.1896 0.0106 0.1471  3 Nd 3.32-3.50, 1 Tb 3.45, 5 Er 3.61-3.71
Er: 0.2141 0.3895 0.4739  2 Tb 3.44-3.47, 1 Nd 3.45, 7 Er 3.61-3.74
Er: 0.3895 0.2141 0.9739  2 Tb 3.44-3.47, 1 Nd 3.45, 7 Er 3.61-3.74
Er: 0.4412 0.5588 0.2500  4 Nd 3.19-3.50, 2 Er 3.46
Er: 0.5588 0.4412 0.7500  4 Nd 3.19-3.50, 2 Er 3.46
Er: 0.6105 0.7859 0.0261  2 Tb 3.44-3.47, 1 Nd 3.45, 7 Er 3.61-3.74
Er: 0.7859 0.6105 0.5261  2 Tb 3.44-3.47, 1 Nd 3.45, 7 Er 3.61-3.74
Er: 0.8104 0.9894 0.8529  3 Nd 3.32-3.50, 1 Tb 3.45, 5 Er 3.61-3.71
Er: 0.9894 0.8104 0.3529  3 Nd 3.32-3.50, 1 Tb 3.45, 5 Er 3.61-3.71

Summary:
- DOS(E_F): 23.92 states/eV/cell
- Space group: C2/c


From most stable to least stable, the computed energies give a, b.


a | Compound: LiRhW2
Source: Alexandria
Functional: PBE-GGA
Structure: relaxed

Unit cell a=6.1768 b=6.1768 c=6.1768 alpha=90.00 beta=90.00 gamma=90.00
Last column: nearest neighbours and their distance in Å.
Fractional coordinates of all 16 atoms:
Li: 0.0000 0.0000 0.0000  4 W 2.67, 4 Rh 2.67
Li: 0.0000 0.5000 0.5000  4 W 2.67, 4 Rh 2.67
Li: 0.5000 0.0000 0.5000  4 W 2.67, 4 Rh 2.67
Li: 0.5000 0.5000 0.0000  4 W 2.67, 4 Rh 2.67
Rh: 0.2500 0.2500 0.7500  4 W 2.67, 4 Li 2.67
Rh: 0.2500 0.7500 0.2500  4 W 2.67, 4 Li 2.67
Rh: 0.7500 0.2500 0.2500  4 W 2.67, 4 Li 2.67
Rh: 0.7500 0.7500 0.7500  4 W 2.67, 4 Li 2.67
W: 0.0000 0.0000 0.5000  4 W 2.67, 4 Rh 2.67
W: 0.0000 0.5000 0.0000  4 W 2.67, 4 Rh 2.67
W: 0.2500 0.2500 0.2500  4 W 2.67, 4 Li 2.67
W: 0.2500 0.7500 0.7500  4 W 2.67, 4 Li 2.67
W: 0.5000 0.0000 0.0000  4 W 2.67, 4 Rh 2.67
W: 0.5000 0.5000 0.5000  4 W 2.67, 4 Rh 2.67
W: 0.7500 0.2500 0.7500  4 W 2.67, 4 Li 2.67
W: 0.7500 0.7500 0.2500  4 W 2.67, 4 Li 2.67

Summary:
- DOS(E_F): 19.28 states/eV/cell
- Space group: F-43m


b | Compound: LiRhW2
Source: Alexandria
Functional: PBE-GGA
Structure: relaxed

Unit cell a=3.0173 b=4.3055 c=4.5438 alpha=90.00 beta=90.00 gamma=90.00
Last column: nearest neighbours and their distance in Å.
Fractional coordinates of all 4 atoms:
Li: 0.0000 0.0000 0.0000  4 Rh 2.63, 4 W 2.73
Rh: 0.5000 0.5000 0.0000  4 Li 2.63, 4 W 2.73
W: 0.0000 0.5000 0.5000  4 W 2.63, 4 Rh 2.73
W: 0.5000 0.0000 0.5000  4 W 2.63, 4 Li 2.73

Summary:
- DOS(E_F): 3.32 states/eV/cell
- Space group: Pmmm


From most stable to least stable, the computed energies give b, a.


a | Compound: Ti3PtC
Source: Alexandria
Functional: PBE-GGA
Structure: relaxed

Unit cell a=5.7510 b=5.7510 c=8.3559 alpha=90.00 beta=90.00 gamma=148.87
Last column: nearest neighbours and their distance in Å.
Fractional coordinates of all 10 atoms:
Ti: 0.0492 0.9508 0.7500  2 C 2.16
Ti: 0.3753 0.6247 0.5533  2 C 2.12
Ti: 0.3753 0.6247 0.9467  2 C 2.12
Ti: 0.6247 0.3753 0.0533  2 C 2.12
Ti: 0.6247 0.3753 0.4467  2 C 2.12
Ti: 0.9508 0.0492 0.2500  2 C 2.16
Pt: 0.2537 0.7463 0.2500  8 Ti 2.67-2.87
Pt: 0.7463 0.2537 0.7500  8 Ti 2.67-2.87
C: 0.0000 0.0000 0.0000  6 Ti 2.12-2.16
C: 0.0000 0.0000 0.5000  6 Ti 2.12-2.16

Summary:
- DOS(E_F): 8.23 states/eV/cell
- Space group: Cmcm


b | Compound: Ti3PtC
Source: Alexandria
Functional: PBE-GGA
Structure: relaxed

Unit cell a=10.6331 b=10.6331 c=10.6331 alpha=156.78 beta=156.78 gamma=33.08
Last column: nearest neighbours and their distance in Å.
Fractional coordinates of all 10 atoms:
Ti: 0.1863 0.1863 0.0000  2 C 2.34, 2 Pt 2.50
Ti: 0.3727 0.6148 0.7579  2 Ti 2.07-2.21
Ti: 0.3852 0.1430 0.7579  2 Ti 2.07-2.21
Ti: 0.3852 0.6273 0.2421  2 Ti 2.07-2.21
Ti: 0.8137 0.8137 0.0000  2 C 2.34, 2 Pt 2.50
Ti: 0.8570 0.6148 0.2421  2 Ti 2.07-2.21
Pt: 0.2500 0.7500 0.5000  4 Ti 2.50
Pt: 0.5000 0.5000 0.0000  4 Ti 2.56
C: 0.6396 0.1396 0.5000  6 Ti 2.34-2.43
C: 0.8604 0.3604 0.5000  6 Ti 2.34-2.43

Summary:
- DOS(E_F): 10.71 states/eV/cell
- Space group: I-4m2


From most stable to least stable, the computed energies give a, b.